Material: Sm2CoAg
Method: DFT, PBE
State: relaxed

Cell lengths 3.465, 3.465, 7.607 Å; angles 90.00, 90.00, 90.00 degrees
Sites, in units of the cell vectors:
Co: 0.500 0.500 0.000
Ag: 0.500 0.500 0.500
Sm: 0.000 0.000 0.778
Sm: 0.000 0.000 0.222

- Final energy: -5.007 eV/atom
- DOS at the Fermi energy: 3.470 states/eV/cell
- DFT formation energy: -0.16 eV/atom